Entry 1:
TaSiRh2 | PBEsol | optimized geometry

## Properties
E (eV/f.u.): -37.52
Crystal system: tetragonal
Calculated volume (Å³ per cell): 55
ΔE_f (raw) (eV/atom): -0.735

Lattice parameters (Å, degrees): 2.821 2.821 6.950 90.00 90.00 90.00
Space group P4/mmm (No. 123)
Symmetry-distinct sites (fractional):
Ta1 0.000 0.000 0.000 x1
Si1 0.000 0.000 0.500 x1
Rh1 0.500 0.500 0.291 x2

=====

Entry 2:
TbSi2Rh2 | PBEsol | optimized geometry

## Properties
E (eV/f.u.): -38.66
Crystal system: tetragonal
Calculated volume (Å³ per cell): 160
ΔE_f (raw) (eV/atom): -1.176

Lattice parameters (Å, degrees): 4.011 4.011 9.920 90.00 90.00 90.00
Space group I4/mmm (No. 139)
Symmetry-distinct sites (fractional):
Tb1 0.000 0.000 0.000 x2
Si1 0.000 0.000 0.378 x4
Rh1 0.000 0.500 0.250 x4

=====

Entry 3:
TbSi2Rh3 | PBEsol | optimized geometry

## Properties
E (eV/f.u.): -47.32
Crystal system: hexagonal
Calculated volume (Å³ per cell): 94
ΔE_f (raw) (eV/atom): -1.066

Lattice parameters (Å, degrees): 5.4408 5.4408 3.6537 90.00 90.00 120.00
Space group P6/mmm (No. 191)
Symmetry-distinct sites (fractional):
Tb1 0.0000 0.0000 0.0000 x1
Si1 0.3333 0.6667 0.0000 x2
Rh1 0.0000 0.5000 0.5000 x3

=====

Entry 4:
Tb2Si3Rh | PBEsol | optimized geometry

## Properties
E (eV/f.u.): -41.32
Crystal system: hexagonal
Calculated volume (Å³ per cell): 444
ΔE_f (raw) (eV/atom): -0.987

Lattice parameters (Å, degrees): 8.1171 8.1171 7.7889 90.00 90.00 120.00
Space group P6_3/mmc (No. 194)
Symmetry-distinct sites (fractional):
Tb1 0.0000 0.0000 0.2500 x2
Tb2 0.0177 0.5089 0.2500 x6
Si1 0.1672 0.3345 0.5014 x12
Rh1 0.3333 0.6667 0.5353 x4

=====

Entry 5:
SiTcRh2 | PBEsol | optimized geometry

## Properties
E (eV/f.u.): -34.84
Crystal system: orthorhombic
Calculated volume (Å³ per cell): 106
ΔE_f (raw) (eV/atom): -0.387

Lattice parameters (Å, degrees): 2.775 4.300 8.915 90.00 90.00 90.00
Space group Imm2 (No. 44)
Symmetry-distinct sites (fractional):
Si1 0.000 0.000 0.000 x2
Tc1 0.000 0.500 0.723 x2
Rh1 0.000 0.000 0.495 x2
Rh2 0.000 0.500 0.289 x2

=====

Entry 6:
Si2TcRh | PBEsol | optimized geometry

## Properties
E (eV/f.u.): -33.57
Crystal system: tetragonal
Calculated volume (Å³ per cell): 51
ΔE_f (raw) (eV/atom): -0.668

Lattice parameters (Å, degrees): 2.946 2.946 5.840 90.00 90.00 90.00
Space group P4/mmm (No. 123)
Symmetry-distinct sites (fractional):
Si1 0.000 0.000 0.237 x2
Tc1 0.500 0.500 0.000 x1
Rh1 0.500 0.500 0.500 x1

=====

Entry 7:
Si2TcRh | PBEsol | optimized geometry

## Properties
E (eV/f.u.): -33.01
Crystal system: orthorhombic
Calculated volume (Å³ per cell): 52
ΔE_f (raw) (eV/atom): -0.527

Lattice parameters (Å, degrees): 2.740 3.741 5.117 90.00 90.00 90.00
Space group Pmm2 (No. 25)
Symmetry-distinct sites (fractional):
Si1 0.000 0.000 0.000 x1
Si2 0.500 0.500 0.311 x1
Tc1 0.000 0.000 0.485 x1
Rh1 0.500 0.500 0.828 x1

=====

Entry 8:
Si2TcRh | PBEsol | optimized geometry

## Properties
E (eV/f.u.): -31.78
Crystal system: trigonal
Calculated volume (Å³ per cell): 162
ΔE_f (raw) (eV/atom): -0.220

Lattice parameters (Å, degrees): 2.8421 2.8421 23.2171 90.00 90.00 120.00
Space group R3m (No. 160, hexagonal axes)
Symmetry-distinct sites (fractional):
Si1 0.0000 0.0000 0.0000 x3
Si2 0.0000 0.0000 0.2478 x3
Tc1 0.0000 0.0000 0.7441 x3
Rh1 0.0000 0.0000 0.5060 x3